(1)
First-principles (PBEsol) data for a geometry-optimized La3MoRu structure, as listed in the Alexandria database.

Calculated values
- Mass density: 6.7 g/cm³
- Symmetry: No. 221
- Formation energy from the elements: 0.6450 eV/atom
- D(E_F): 5.4 states/eV per cell
- DFT total energy: -6.951 eV per atom

Cell lengths 5.3460, 5.3460, 5.3460 Å; angles 90.00, 90.00, 90.00 degrees
With the nearest neighbours (Å) after each atom.
Sites, in units of the cell vectors:
La  0.0000  0.0000  0.5000  2 Ru 2.67
La  0.0000  0.5000  0.0000  2 Ru 2.67
La  0.5000  0.0000  0.0000  2 Ru 2.67
Mo  0.5000  0.5000  0.5000  12 La 3.78
Ru  0.0000  0.0000  0.0000  6 La 2.67

(2)
First-principles (PBEsol) data for a geometry-optimized LaMoS2 structure, as listed in the Alexandria database.

Calculated values
- Mass density: 4.2 g/cm³
- Distance to the lowest polymorph of the same formula: 418.0 meV/atom
- Symmetry: No. 166
- Energy relative to the elements, uncorrected: -0.4096 eV/atom
- D(E_F): 2.0 states/eV per cell
- DFT total energy: -6.880 eV per atom

Cell lengths 8.0327, 8.0327, 8.0327 Å; angles 30.52, 30.52, 30.52 degrees
With the nearest neighbours (Å) after each atom.
Sites, in units of the cell vectors:
La  0.0000  0.0000  0.0000  6 S 2.84
Mo  0.5000  0.5000  0.5000  2 S 2.38
S  0.3964  0.3964  0.3964  1 Mo 2.38
S  0.6036  0.6036  0.6036  1 Mo 2.38

(3)
First-principles (PBEsol) data for a geometry-optimized LaMoS2 structure, as listed in the Alexandria database.

Calculated values
- Mass density: 7.0 g/cm³
- Distance to the lowest polymorph of the same formula: 0.0 meV/atom
- Symmetry: No. 225
- Energy relative to the elements, uncorrected: -0.8276 eV/atom
- D(E_F): 2.2 states/eV per cell
- DFT total energy: -7.298 eV per atom

Cell lengths 4.6463, 4.6463, 4.6463 Å; angles 60.00, 60.00, 60.00 degrees
With the nearest neighbours (Å) after each atom.
Sites, in units of the cell vectors:
La  0.0000  0.0000  0.0000  8 S 2.85
Mo  0.5000  0.5000  0.5000  8 S 2.85
S  0.2500  0.2500  0.2500  4 La 2.85, 4 Mo 2.85
S  0.7500  0.7500  0.7500  4 La 2.85, 4 Mo 2.85

What did the third record say?
First-principles (PBEsol) data for a geometry-optimized LaMoS2 structure, as listed in the Alexandria database.

Calculated values
- Mass density: 7.0 g/cm³
- Distance to the lowest polymorph of the same formula: 0.0 meV/atom
- Symmetry: No. 225
- Energy relative to the elements, uncorrected: -0.8276 eV/atom
- D(E_F): 2.2 states/eV per cell
- DFT total energy: -7.298 eV per atom

Cell lengths 4.6463, 4.6463, 4.6463 Å; angles 60.00, 60.00, 60.00 degrees
With the nearest neighbours (Å) after each atom.
Sites, in units of the cell vectors:
La  0.0000  0.0000  0.0000  8 S 2.85
Mo  0.5000  0.5000  0.5000  8 S 2.85
S  0.2500  0.2500  0.2500  4 La 2.85, 4 Mo 2.85
S  0.7500  0.7500  0.7500  4 La 2.85, 4 Mo 2.85